[1]
# Ac2GaAs3Pd4 | Alexandria | PBE | relaxed
# - Formation energy: -0.918 eV/atom
# - Spin magnetization: 0.0 μB per formula unit
# - Fermi-level density of states: 4.674 states/eV/f.u.
# - Space-group type: P-4m2 (115)
# - Raw total energy: -5.5143 eV per atom
data_Ac2GaAs3Pd4
_cell_length_a 4.4436
_cell_length_b 4.4436
_cell_length_c 10.4985
_cell_angle_alpha 90.00
_cell_angle_beta 90.00
_cell_angle_gamma 90.00
_symmetry_space_group_name_H-M 'P 1'
_symmetry_Int_Tables_number 1
_symmetry_space_group_name_Hall 'P 1'
loop_
_atom_site_label
_atom_site_fract_x
_atom_site_fract_y
_atom_site_fract_z
Ac1 0.0000 0.5000 0.2445
Ac2 0.5000 0.0000 0.7555
Ga1 0.0000 0.0000 0.5000
As1 0.0000 0.5000 0.8672
As2 0.5000 0.0000 0.1328
As3 0.5000 0.5000 0.5000
Pd1 0.0000 0.0000 0.0000
Pd2 0.0000 0.5000 0.6261
Pd3 0.5000 0.0000 0.3739
Pd4 0.5000 0.5000 0.0000

=====

[2]
# AcGaAsPd | Alexandria | PBE | relaxed
# - Formation energy: -0.465 eV/atom
# - Spin magnetization: 0.0 μB per formula unit
# - Fermi-level density of states: 1.331 states/eV/f.u.
# - Space-group type: F-43m (216)
# - Raw total energy: -4.7094 eV per atom
data_AcGaAsPd
_cell_length_a 5.0528
_cell_length_b 5.0528
_cell_length_c 5.0528
_cell_angle_alpha 60.00
_cell_angle_beta 60.00
_cell_angle_gamma 60.00
_symmetry_space_group_name_H-M 'P 1'
_symmetry_Int_Tables_number 1
_symmetry_space_group_name_Hall 'P 1'
loop_
_atom_site_label
_atom_site_fract_x
_atom_site_fract_y
_atom_site_fract_z
Ac1 0.0000 0.0000 0.0000
Ga1 0.7500 0.7500 0.7500
As1 0.5000 0.5000 0.5000
Pd1 0.2500 0.2500 0.2500

=====

[3]
# AcPmGaAs | Alexandria | PBE | relaxed
# - Formation energy: -0.640 eV/atom
# - Spin magnetization: 0.0 μB per formula unit
# - Fermi-level density of states: 4.276 states/eV/f.u.
# - Space-group type: F-43m (216)
# - Raw total energy: -4.7742 eV per atom
data_AcPmGaAs
_cell_length_a 5.3668
_cell_length_b 5.3668
_cell_length_c 5.3668
_cell_angle_alpha 60.00
_cell_angle_beta 60.00
_cell_angle_gamma 60.00
_symmetry_space_group_name_H-M 'P 1'
_symmetry_Int_Tables_number 1
_symmetry_space_group_name_Hall 'P 1'
loop_
_atom_site_label
_atom_site_fract_x
_atom_site_fract_y
_atom_site_fract_z
Ac1 0.0000 0.0000 0.0000
Pm1 0.5000 0.5000 0.5000
Ga1 0.7500 0.7500 0.7500
As1 0.2500 0.2500 0.2500